Density functional theory data (PBE) for a relaxed structure of Li12PdPt2.

a = 5.1690 Å, b = 5.1690 Å, c = 20.5985 Å
α = 90.00°, β = 90.00°, γ = 115.91°
With the nearest neighbours (Å) after each atom.
Fractional coordinates of all 30 atoms:
Li: 0.5000 0.5000 0.8107  1 Li 2.25
Li: 0.0000 0.0000 0.8107  1 Li 2.25
Li: 0.0000 0.0000 0.7013  3 Li 2.25-2.45
Li: 0.6810 0.8190 0.5584  5 Li 2.69-3.00
Li: 0.7500 0.7500 0.9402  3 Li 2.46-2.74, 2 Pd 2.51-2.52
Li: 0.0000 0.0000 0.2987  3 Li 2.25-2.45
Li: 0.2500 0.2500 0.9402  3 Li 2.46-2.74, 2 Pd 2.51-2.52
Li: 0.7356 0.2356 0.3522  3 Li 2.45-2.59, 2 Pt 2.66-2.73
Li: 0.3190 0.1810 0.5584  5 Li 2.69-3.00
Li: 0.2644 0.7644 0.3522  3 Li 2.45-2.59, 2 Pt 2.66-2.73
Li: 0.5000 0.5000 0.2987  3 Li 2.25-2.45
Li: 0.0000 0.0000 0.1893  1 Li 2.25
Li: 0.2523 0.7523 0.8788  8 Li 2.60-2.88, 2 Pt 2.79-2.80, 2 Pd 2.85
Li: 0.7477 0.2477 0.8788  8 Li 2.60-2.88, 2 Pt 2.79-2.80, 2 Pd 2.85
Li: 0.1810 0.3190 0.4416  5 Li 2.69-3.00
Li: 0.2500 0.2500 0.0598  3 Li 2.46-2.74, 2 Pd 2.51-2.52
Li: 0.5000 0.5000 0.7013  3 Li 2.25-2.45
Li: 0.7523 0.2523 0.1212  8 Li 2.60-2.88, 2 Pt 2.79-2.80, 2 Pd 2.85
Li: 0.7500 0.7500 0.0598  3 Li 2.46-2.74, 2 Pd 2.51-2.52
Li: 0.2477 0.7477 0.1212  8 Li 2.60-2.88, 2 Pt 2.79-2.80, 2 Pd 2.85
Li: 0.2356 0.7356 0.6478  3 Li 2.45-2.59, 2 Pt 2.66-2.73
Li: 0.8190 0.6810 0.4416  5 Li 2.69-3.00
Li: 0.7644 0.2644 0.6478  3 Li 2.45-2.59, 2 Pt 2.66-2.73
Li: 0.5000 0.5000 0.1893  1 Li 2.25
Pt: 0.0000 0.5000 0.2397  12 Li 2.73-2.86, 2 Pt 2.74
Pt: 0.5000 0.0000 0.7603  12 Li 2.73-2.86, 2 Pt 2.74
Pt: 0.0000 0.5000 0.7609  12 Li 2.66-2.86, 2 Pt 2.74
Pt: 0.5000 0.0000 0.2391  12 Li 2.66-2.86, 2 Pt 2.74
Pd: 0.5000 0.0000 0.0003  4 Li 2.51-2.52, 2 Pd 2.74
Pd: 0.0000 0.5000 0.9997  4 Li 2.51-2.52, 2 Pd 2.74

Values from the calculation:
Formation energy (eV/atom): -0.2139
Density of states at the Fermi level (states/eV/f.u.): 4.32
Space-group type: Cmme, No. 67

---

Density functional theory data (PBE) for a relaxed structure of Tl5InPb8.

a = 8.3942 Å, b = 8.3942 Å, c = 8.3942 Å
α = 107.79°, β = 107.79°, γ = 112.89°
With the nearest neighbours (Å) after each atom.
Fractional coordinates of all 14 atoms:
In: 0.2500 0.7500 0.5000  8 Pb 3.22-3.56
Pb: 0.5363 0.2482 0.6037  4 Pb 3.30-3.57, 2 Tl 3.38-3.53, 1 In 3.56
Pb: 0.6445 0.9326 0.3963  4 Pb 3.30-3.57, 2 Tl 3.38-3.53, 1 In 3.56
Pb: 0.0674 0.4637 0.7119  4 Pb 3.30-3.57, 2 Tl 3.38-3.53, 1 In 3.56
Pb: 0.5401 0.8744 0.9297  5 Tl 3.19-3.52, 1 In 3.22, 2 Pb 3.47-3.50
Pb: 0.1256 0.0553 0.6657  5 Tl 3.19-3.52, 1 In 3.22, 2 Pb 3.47-3.50
Pb: 0.3896 0.4599 0.3343  5 Tl 3.19-3.52, 1 In 3.22, 2 Pb 3.47-3.50
Pb: 0.7518 0.3555 0.2881  4 Pb 3.30-3.57, 2 Tl 3.38-3.53, 1 In 3.56
Pb: 0.9447 0.6104 0.0703  5 Tl 3.19-3.52, 1 In 3.22, 2 Pb 3.47-3.50
Tl: 0.2718 0.9938 0.0714  5 Pb 3.19-3.52, 2 Tl 3.36
Tl: 0.5000 0.5000 0.0000  8 Pb 3.28-3.53
Tl: 0.0062 0.0776 0.2779  5 Pb 3.19-3.52, 2 Tl 3.36
Tl: 0.9224 0.2004 0.9286  5 Pb 3.19-3.52, 2 Tl 3.36
Tl: 0.7996 0.7282 0.7221  5 Pb 3.19-3.52, 2 Tl 3.36

Values from the calculation:
Formation energy (eV/atom): 0.0802
Density of states at the Fermi level (states/eV/f.u.): 7.23
Space-group type: I-4, No. 82

---

Density functional theory data (PBE) for a relaxed structure of La3ScTe6.

a = 9.0985 Å, b = 9.0985 Å, c = 9.0985 Å
α = 98.94°, β = 98.94°, γ = 98.94°
With the nearest neighbours (Å) after each atom.
Fractional coordinates of all 20 atoms:
Te: 0.8119 0.5741 0.4421  1 Sc 2.96, 2 La 3.22-3.31
Te: 0.0295 0.6837 0.9344  1 Sc 2.91, 2 La 3.16-3.22
Te: 0.4259 0.5579 0.1881  1 Sc 2.96, 2 La 3.22-3.31
Te: 0.4421 0.8119 0.5741  1 Sc 2.96, 2 La 3.22-3.31
Te: 0.5741 0.4421 0.8119  1 Sc 2.96, 2 La 3.22-3.31
Te: 0.1881 0.4259 0.5579  1 Sc 2.96, 2 La 3.22-3.31
Te: 0.3163 0.0656 0.9705  1 Sc 2.91, 2 La 3.16-3.22
Te: 0.0656 0.9705 0.3163  1 Sc 2.91, 2 La 3.16-3.22
Te: 0.5579 0.1881 0.4259  1 Sc 2.96, 2 La 3.22-3.31
Te: 0.9705 0.3163 0.0656  1 Sc 2.91, 2 La 3.16-3.22
Te: 0.9344 0.0295 0.6837  1 Sc 2.91, 2 La 3.16-3.22
Te: 0.6837 0.9344 0.0295  1 Sc 2.91, 2 La 3.16-3.22
La: 0.7097 0.8814 0.3675  6 Te 3.16-3.34
La: 0.2903 0.1186 0.6325  6 Te 3.16-3.34
La: 0.3675 0.7097 0.8814  6 Te 3.16-3.34
La: 0.6325 0.2903 0.1186  6 Te 3.16-3.34
La: 0.8814 0.3675 0.7097  6 Te 3.16-3.34
La: 0.1186 0.6325 0.2903  6 Te 3.16-3.34
Sc: 0.5000 0.5000 0.5000  6 Te 2.96
Sc: 0.0000 0.0000 0.0000  6 Te 2.91

Values from the calculation:
Formation energy from raw total energies (eV/f.u.): -14.492
Space-group type: R-3, No. 148

---

Density functional theory data (PBE) for a relaxed structure of BeRuI2.

a = 5.8567 Å, b = 5.8567 Å, c = 7.0832 Å
α = 65.58°, β = 65.58°, γ = 90.00°
With the nearest neighbours (Å) after each atom.
Fractional coordinates of all 8 atoms:
I: 0.8750 0.8534 0.7500  2 Be 2.45, 2 Ru 2.60
I: 0.6034 0.1250 0.2500  2 Be 2.45, 2 Ru 2.60
I: 0.3750 0.3966 0.7500  2 Be 2.45, 2 Ru 2.60
I: 0.1466 0.6250 0.2500  2 Be 2.45, 2 Ru 2.60
Be: 0.5000 0.5000 0.0000  4 I 2.45
Be: 0.2500 0.7500 0.5000  4 I 2.45
Ru: 0.7500 0.2500 0.5000  4 I 2.60
Ru: 0.0000 0.0000 0.0000  4 I 2.60

Values from the calculation:
Formation energy from raw total energies (eV/f.u.): 2.541
Density of states at the Fermi level (states/eV/f.u.): 3.66
Energy relative to the lowest polymorph listed for this composition (eV/atom): 0.0000
Space-group type: I-42d, No. 122

---

Number 1: uncorrected energy -43.45 eV/f.u.. Number 2: uncorrected energy -43.11 eV/f.u.. Number 3: uncorrected energy -54.46 eV/f.u.. Number 4: uncorrected energy -13.56 eV/f.u..